No. 1
Material: Ca3NiPt
Method: DFT, PBE
State: optimized geometry

Values from the calculation:
- ΔE to the lowest computed polymorph: 0.000 eV per atom
- Density: 3.87 g/cm3
- Raw total energy: -3.5962 eV/atom
- Energy of formation: -31 meV/atom

a = 5.435 Å, b = 5.435 Å, c = 5.435 Å
α = 90.00°, β = 90.00°, γ = 90.00°
Atoms (fractional coordinates):
1 Ni 0.500 0.500 0.500
2 Ca 0.000 0.500 0.000
3 Ca 0.000 0.000 0.500
4 Ca 0.500 0.000 0.000
5 Pt 0.000 0.000 0.000

---

No. 2
Material: CaNi2Pt
Method: DFT, PBE
State: optimized geometry

Values from the calculation:
- Density: 9.31 g/cm3
- Raw total energy: -4.9113 eV/atom
- Energy of formation: -10 meV/atom

a = 4.463 Å, b = 4.463 Å, c = 4.463 Å
α = 60.00°, β = 60.00°, γ = 60.00°
Atoms (fractional coordinates):
1 Ni 0.000 0.000 0.000
2 Ni 0.250 0.250 0.250
3 Ca 0.500 0.500 0.500
4 Pt 0.750 0.750 0.750

---

No. 3
Material: CaNi2Pt
Method: DFT, PBE
State: optimized geometry

Values from the calculation:
- Density: 9.53 g/cm3
- Raw total energy: -5.0115 eV/atom
- Energy of formation: -110 meV/atom

a = 4.429 Å, b = 4.429 Å, c = 4.429 Å
α = 60.00°, β = 60.00°, γ = 60.00°
Atoms (fractional coordinates):
1 Ni 0.250 0.250 0.250
2 Ni 0.750 0.750 0.750
3 Ca 0.000 0.000 0.000
4 Pt 0.500 0.500 0.500

---

No. 4
Material: CaNi2Pt
Method: DFT, PBE
State: optimized geometry

Values from the calculation:
- Density: 9.45 g/cm3
- Raw total energy: -4.9781 eV/atom
- Energy of formation: -77 meV/atom

a = 5.369 Å, b = 5.369 Å, c = 5.369 Å
α = 148.13°, β = 130.07°, γ = 60.47°
Each line ends with the local moment (μB).
Atoms (fractional coordinates):
1 Ni 0.030 0.030 0.000  0.36
2 Ni 0.239 0.739 0.500  0.22
3 Ca 0.756 0.256 0.500  -0.01
4 Pt 0.476 0.476 0.000  0.09

---

No. 5
Material: CaNi2Pt
Method: DFT, PBE
State: optimized geometry

Values from the calculation:
- Density: 9.51 g/cm3
- Raw total energy: -5.0399 eV/atom
- Energy of formation: -139 meV/atom

a = 3.811 Å, b = 4.019 Å, c = 4.019 Å
α = 90.00°, β = 90.00°, γ = 90.00°
Each line ends with the local moment (μB).
Atoms (fractional coordinates):
1 Ni 0.000 0.000 0.000  0.47
2 Ni 0.000 0.500 0.500  0.47
3 Ca 0.500 0.000 0.500  -0.02
4 Pt 0.500 0.500 0.000  0.13

---

No. 6
Material: CaNiPt
Method: DFT, PBE
State: optimized geometry

Values from the calculation:
- Density: 9.28 g/cm3
- Raw total energy: -4.4374 eV/atom
- Energy of formation: 170 meV/atom

a = 3.036 Å, b = 3.036 Å, c = 6.590 Å
α = 90.00°, β = 90.00°, γ = 120.00°
Atoms (fractional coordinates):
1 Ni 0.667 0.333 0.344
2 Ca 0.000 0.000 0.005
3 Pt 0.333 0.667 0.651

---

No. 7
Material: CaNi2Pt
Method: DFT, PBE
State: optimized geometry

Values from the calculation:
- Density: 9.42 g/cm3
- Raw total energy: -4.9897 eV/atom
- Energy of formation: -88 meV/atom

a = 4.242 Å, b = 2.862 Å, c = 5.309 Å
α = 74.57°, β = 90.00°, γ = 90.00°
Atoms (fractional coordinates):
1 Ni 0.000 0.177 0.015
2 Ni 0.500 0.058 0.268
3 Ca 0.500 0.794 0.782
4 Pt 0.000 0.471 0.435

---

No. 8
Material: CaNi2Pt
Method: DFT, PBE
State: optimized geometry

Values from the calculation:
- Density: 9.33 g/cm3
- Raw total energy: -4.9689 eV/atom
- Energy of formation: -68 meV/atom

a = 4.883 Å, b = 4.883 Å, c = 4.883 Å
α = 132.15°, β = 132.15°, γ = 69.99°
Each line ends with the local moment (μB).
Atoms (fractional coordinates):
1 Ni 0.000 0.000 0.000  0.47
2 Ni 0.250 0.750 0.500  0.61
3 Ca 0.750 0.250 0.500  -0.02
4 Pt 0.500 0.500 0.000  0.13

---

No. 9
Material: CaNi2Pt
Method: DFT, PBE
State: optimized geometry

Values from the calculation:
- Density: 9.01 g/cm3
- Raw total energy: -4.9257 eV/atom
- Energy of formation: -24 meV/atom

a = 4.393 Å, b = 2.822 Å, c = 5.338 Å
α = 79.16°, β = 90.00°, γ = 90.00°
Each line ends with the local moment (μB).
Atoms (fractional coordinates):
1 Ni 0.000 0.044 0.056  0.23
2 Ni 0.000 0.456 0.444  0.23
3 Ca 0.500 0.750 0.750  -0.01
4 Pt 0.500 0.250 0.250  0.03

---

No. 10
Material: CaNi2Pt2
Method: DFT, PBE
State: optimized geometry

Values from the calculation:
- ΔE to the lowest computed polymorph: 0.000 eV per atom
- Density: 11.66 g/cm3
- Raw total energy: -5.4445 eV/atom
- Energy of formation: -315 meV/atom

a = 7.471 Å, b = 7.471 Å, c = 2.795 Å
α = 90.00°, β = 90.00°, γ = 90.00°
Each line ends with the local moment (μB).
Atoms (fractional coordinates):
1 Ni 0.381 0.881 0.000  0.38
2 Ni 0.881 0.619 0.000  0.39
3 Ni 0.619 0.119 0.000  0.38
4 Ni 0.119 0.381 0.000  0.39
5 Ca 0.000 0.000 0.000  -0.02
6 Ca 0.500 0.500 0.000  -0.02
7 Pt 0.177 0.677 0.500  0.14
8 Pt 0.677 0.823 0.500  0.14
9 Pt 0.823 0.323 0.500  0.14
10 Pt 0.323 0.177 0.500  0.14

---

No. 11
Material: CaNi2Pt
Method: DFT, PBE
State: optimized geometry

Values from the calculation:
- Density: 7.94 g/cm3
- Raw total energy: -5.2502 eV/atom
- Energy of formation: -349 meV/atom

a = 4.234 Å, b = 4.234 Å, c = 5.341 Å
α = 66.63°, β = 66.63°, γ = 59.98°
Atoms (fractional coordinates):
1 Ni 0.061 0.061 0.818
2 Ni 0.439 0.439 0.682
3 Ca 0.250 0.250 0.250
4 Pt 0.750 0.750 0.750

---

No. 12
Material: Ca2Ni3Pt
Method: DFT, PBE
State: optimized geometry

Values from the calculation:
- Density: 7.62 g/cm3
- Raw total energy: -5.0056 eV/atom
- Energy of formation: -441 meV/atom

a = 5.136 Å, b = 5.136 Å, c = 5.232 Å
α = 89.93°, β = 119.42°, γ = 120.05°
Atoms (fractional coordinates):
1 Ca 0.752 0.376 0.128
2 Ca 0.248 0.624 0.872
3 Ni 0.500 0.500 0.500
4 Ni 0.000 0.000 0.500
5 Ni 0.500 0.000 0.500
6 Pt 0.000 0.000 0.000

---

No. 13
Material: CaNiPt
Method: DFT, PBE
State: optimized geometry

Values from the calculation:
- Density: 9.41 g/cm3
- Raw total energy: -5.2612 eV/atom
- Energy of formation: -653 meV/atom

a = 5.149 Å, b = 5.259 Å, c = 5.259 Å
α = 62.73°, β = 60.69°, γ = 60.69°
Atoms (fractional coordinates):
1 Ca 0.878 0.372 0.372
2 Ca 0.122 0.628 0.628
3 Ni 0.000 0.000 0.000
4 Ni 0.500 0.000 0.000
5 Pt 0.500 0.500 0.000
6 Pt 0.500 0.000 0.500

---

No. 14
Material: CaNiPt
Method: DFT, PBE
State: optimized geometry

Values from the calculation:
- Density: 8.29 g/cm3
- Raw total energy: -4.7773 eV/atom
- Energy of formation: -169 meV/atom

a = 4.367 Å, b = 4.367 Å, c = 4.367 Å
α = 60.00°, β = 60.00°, γ = 60.00°
Each line ends with the local moment (μB).
Atoms (fractional coordinates):
1 Ni 0.750 0.750 0.750  0.23
2 Ca 0.500 0.500 0.500  -0.01
3 Pt 0.000 0.000 0.000  0.06

---

No. 15
Material: CaNi2Pt
Method: DFT, PBE
State: optimized geometry

Values from the calculation:
- Density: 7.31 g/cm3
- Raw total energy: -4.9490 eV/atom
- Energy of formation: -48 meV/atom

a = 4.298 Å, b = 4.298 Å, c = 9.183 Å
α = 76.47°, β = 76.47°, γ = 90.00°
Atoms (fractional coordinates):
1 Ni 0.801 0.125 0.250
2 Ni 0.949 0.625 0.250
3 Ni 0.375 0.199 0.750
4 Ni 0.875 0.051 0.750
5 Ca 0.500 0.500 0.000
6 Ca 0.250 0.750 0.500
7 Pt 0.000 0.000 0.000
8 Pt 0.750 0.250 0.500

---

No. 16
Material: CaNiPt
Method: DFT, PBE
State: optimized geometry

Values from the calculation:
- Density: 8.57 g/cm3
- Raw total energy: -4.9121 eV/atom
- Energy of formation: -304 meV/atom

a = 5.460 Å, b = 5.460 Å, c = 3.409 Å
α = 71.81°, β = 71.81°, γ = 36.38°
Atoms (fractional coordinates):
1 Ni 0.714 0.714 0.286
2 Ca 0.996 0.996 0.004
3 Pt 0.290 0.290 0.710

---

No. 17
Material: CaNi2Pt2
Method: DFT, PBE
State: optimized geometry

Values from the calculation:
- ΔE to the lowest computed polymorph: 0.067 eV per atom
- Density: 11.57 g/cm3
- Raw total energy: -5.3777 eV/atom
- Energy of formation: -249 meV/atom

a = 7.481 Å, b = 7.481 Å, c = 2.809 Å
α = 90.00°, β = 90.00°, γ = 90.00°
Atoms (fractional coordinates):
1 Ni 0.166 0.666 0.500
2 Ni 0.666 0.834 0.500
3 Ni 0.834 0.334 0.500
4 Ni 0.334 0.166 0.500
5 Ca 0.000 0.000 0.000
6 Ca 0.500 0.500 0.000
7 Pt 0.367 0.867 0.000
8 Pt 0.867 0.633 0.000
9 Pt 0.633 0.133 0.000
10 Pt 0.133 0.367 0.000

---

No. 18
Material: CaNiPt3
Method: DFT, PBE
State: optimized geometry

Values from the calculation:
- ΔE to the lowest computed polymorph: 1.462 eV per atom
- Density: 9.62 g/cm3
- Raw total energy: -3.6116 eV/atom
- Energy of formation: 1569 meV/atom

a = 4.905 Å, b = 4.905 Å, c = 4.905 Å
α = 90.00°, β = 90.00°, γ = 90.00°
Each line ends with the local moment (μB).
Atoms (fractional coordinates):
1 Ni 0.500 0.500 0.500  0.96
2 Ca 0.000 0.000 0.000  -0.01
3 Pt 0.000 0.500 0.000  0.00
4 Pt 0.000 0.000 0.500  0.01
5 Pt 0.500 0.000 0.000  0.05

---

No. 19
Material: CaNi2Pt
Method: DFT, PBE
State: optimized geometry

Values from the calculation:
- Density: 9.22 g/cm3
- Raw total energy: -5.0145 eV/atom
- Energy of formation: -113 meV/atom

a = 3.051 Å, b = 3.059 Å, c = 6.799 Å
α = 90.00°, β = 90.00°, γ = 90.00°
Each line ends with the local moment (μB).
Atoms (fractional coordinates):
1 Ni 0.000 0.000 0.064  0.29
2 Ni 0.500 0.500 0.223  0.46
3 Ca 0.500 0.500 0.759  -0.02
4 Pt 0.000 0.000 0.453  0.02

---

No. 20
Material: RbCaNi2Pt
Method: DFT, PBE
State: optimized geometry

Values from the calculation:
- Density: 6.44 g/cm3
- Raw total energy: -2.5037 eV/atom
- Energy of formation: 1611 meV/atom

a = 4.550 Å, b = 5.453 Å, c = 4.550 Å
α = 90.00°, β = 90.00°, γ = 90.00°
Atoms (fractional coordinates):
1 Ni 0.000 0.000 0.500
2 Ni 0.500 0.000 0.000
3 Ca 0.000 0.500 0.000
4 Rb 0.000 0.000 0.000
5 Pt 0.500 0.500 0.500